DFT (PBE-GGA) results for ZrTiNbHg after structural relaxation.

Lattice parameters (Å, degrees): 4.7870 4.7870 4.7870 60.00 60.00 60.00
Element x y z (fractional)
Nb 0.5000 0.5000 0.5000
Hg 0.0000 0.0000 0.0000
Zr 0.7500 0.7500 0.7500
Ti 0.2500 0.2500 0.2500

ΔH_f (0 K): 0.045 eV/atom
space group: F-43m (216)